[1]
DFT (PBE+U) results for a geometry-optimized Li7MoO6 structure.

abc: 5.595 5.595 5.866
angles: 61.52 61.52 60.00
Site moments in Bohr magnetons follow the coordinates.
Fractional coordinates of all 14 atoms:
Mo 0.999 0.999 0.002  1.08
Li 0.652 0.652 0.043  0.00
Li 0.490 0.932 0.346  0.00
Li 0.724 0.492 0.664  0.00
Li 0.492 0.120 0.664  0.00
Li 0.120 0.724 0.664  0.00
Li 0.232 0.490 0.346  0.00
Li 0.932 0.232 0.346  0.00
O 0.373 0.795 0.759  -0.02
O 0.795 0.073 0.759  -0.02
O 0.639 0.230 0.248  -0.02
O 0.884 0.639 0.248  -0.02
O 0.230 0.884 0.248  -0.02
O 0.073 0.373 0.759  -0.02

Calculated values
Uncorrected energy, eV/atom: -5.43
Space group: No. 146

=====

[2]
DFT (PBE+U) results for a geometry-optimized AcNb2CoO8 structure.

abc: 5.341 5.341 7.093
angles: 89.43 89.43 66.79
Fractional coordinates of all 12 atoms:
O 0.283 0.283 0.563
O 0.217 0.754 0.804
O 0.717 0.717 0.437
O 0.211 0.211 0.979
O 0.754 0.217 0.804
O 0.783 0.246 0.196
O 0.246 0.783 0.196
O 0.789 0.789 0.021
Ac 0.000 0.000 0.500
Co 0.000 0.000 0.000
Nb 0.362 0.362 0.802
Nb 0.638 0.638 0.198

Calculated values
Uncorrected energy, eV/atom: -8.11
Space group: No. 12